Ho2AgAu3 (PBE, optimized geometry); offset from the most stable computed form = 0 meV per atom; final energy = -52.022 eV for the cell shown; DOS(E_F) = 0.656 states/eV per atom; calculated volume = 21.382 Å³/atom; energy of formation = -0.695 eV/atom
1.0
4.9654 0.0000 0.0000
-2.4827 4.3002 0.0000
0.0000 0.0000 12.0171
Ho Ag Au
4 2 6
direct
0.0000 0.0000 0.0000
0.0000 0.0000 0.5000
0.3333 0.6667 0.1880
0.6667 0.3333 0.8120
0.3333 0.6667 0.6749
0.6667 0.3333 0.3251
0.0000 0.0000 0.2460
0.0000 0.0000 0.7540
0.3333 0.6667 0.4322
0.3333 0.6667 0.9315
0.6667 0.3333 0.0685
0.6667 0.3333 0.5678